No. 1
This record from the Alexandria database describes an optimized crystal structure of LuPtAu. The functional is PBE.

Summary:
E above lowest polymorph = 45.1 kJ/mol of formula units
Energy relative to the elements = -19.1 kcal/mol of atoms

a b c (Å): 4.6466 4.6466 3.2059
angles (deg): 90.00 90.00 120.00
Closest atoms and distances in Å follow each position.
Space group P-6m2 (No. 187)
Symmetry-distinct sites (fractional):
Lu1 0.0000 0.0000 0.0000  6 Pt 3.13, 6 Au 3.13, 2 Lu 3.21
Pt1 0.6667 0.3333 0.5000  3 Au 2.68
Au1 0.3333 0.6667 0.5000  3 Pt 2.68

---

No. 2
This record from the Alexandria database describes an optimized crystal structure of Fe2MoCl. The functional is PBE.

Summary:
E above lowest polymorph = 82.0 kJ/mol of formula units
Energy relative to the elements, uncorrected = 1.539 eV per formula unit

a b c (Å): 2.8477 2.8477 7.0832
angles (deg): 90.00 90.00 90.00
Closest atoms and distances in Å follow each position.
Space group P4/mmm (No. 123)
Symmetry-distinct sites (fractional):
Fe1 0.0000 0.0000 0.2445  4 Mo 2.66, 4 Cl 2.71, 4 Fe 2.85
Mo1 0.5000 0.5000 0.0000  8 Fe 2.66, 4 Mo 2.85
Cl1 0.5000 0.5000 0.5000  8 Fe 2.71, 4 Cl 2.85

---

No. 3
This record from the Alexandria database describes an optimized crystal structure of RbScAlSb2. The functional is PBE.

Summary:
Energy relative to the elements, uncorrected = 7.424 eV per formula unit

a b c (Å): 6.0585 6.0585 5.3542
angles (deg): 90.00 90.00 90.00
Closest atoms and distances in Å follow each position.
Space group P4/mmm (No. 123)
Symmetry-distinct sites (fractional):
Rb1 0.0000 0.0000 0.0000  2 Sc 2.68
Sc1 0.0000 0.0000 0.5000  2 Rb 2.68
Al1 0.5000 0.5000 0.5000  8 Sb 4.04, 4 Sc 4.28
Sb1 0.0000 0.5000 0.0000  2 Rb 3.03

---

No. 4
This record from the Alexandria database describes an optimized crystal structure of SmY2Ho3. The functional is PBE.

Summary:
Energy relative to the elements = 0.5 kcal/mol of atoms

a b c (Å): 17.4362 7.1152 6.1574
angles (deg): 90.00 90.07 90.00
Closest atoms and distances in Å follow each position.
Space group C2/c (No. 15)
Symmetry-distinct sites (fractional):
Sm1 0.0000 0.1245 0.2500  2 Sm 3.55, 8 Ho 3.56, 2 Y 3.56
Y1 0.1670 0.3749 0.4164  8 Ho 3.55-3.57, 3 Y 3.55-3.56, 1 Sm 3.56
Ho1 0.0000 0.3751 0.7500  4 Ho 3.55-3.56, 4 Sm 3.56, 4 Y 3.56-3.57
Ho2 0.1671 0.1250 0.9169  4 Ho 3.55-3.56, 6 Y 3.55-3.56, 2 Sm 3.56

---

No. 5
This record from the Alexandria database describes an optimized crystal structure of Na5B7C3. The functional is PBE.

Summary:
E above lowest polymorph = 14.8 kJ/mol of formula units
Energy relative to the elements = 2.8 kcal/mol of atoms

a b c (Å): 23.0697 2.8300 9.9809
angles (deg): 90.00 107.10 90.00
Closest atoms and distances in Å follow each position.
Space group Cm (No. 8)
Symmetry-distinct sites (fractional):
Na1 0.0000 0.0000 0.0000  10 B 2.66-2.87, 2 C 2.71, 6 Na 2.83-2.97
Na2 0.9999 0.5000 0.4951  3 C 2.67-2.71, 9 B 2.67-2.95, 6 Na 2.83-2.94
Na3 0.1001 0.0000 0.6958  9 B 2.67-2.87, 3 C 2.68-2.74, 6 Na 2.83-2.94
Na4 0.1003 0.5000 0.1990  8 B 2.66-2.77, 4 C 2.68-2.79, 6 Na 2.83-2.93
Na5 0.1983 0.0000 0.3981  6 B 2.64-2.72, 6 C 2.65-2.70, 6 Na 2.83-2.91
Na6 0.1999 0.5000 0.8966  8 B 2.62-2.78, 4 C 2.65-2.81, 6 Na 2.83-2.93
Na7 0.2969 0.5000 0.5977  7 B 2.63-2.76, 5 C 2.65-2.74, 4 Na 2.83-2.91
Na8 0.3004 0.0000 0.0932  8 B 2.65-2.82, 4 C 2.72-2.77, 6 Na 2.83-2.94
Na9 0.3975 0.0000 0.7995  11 B 2.67-2.93, 1 C 2.79, 6 Na 2.83-2.97
Na10 0.4003 0.5000 0.2945  8 B 2.62-2.80, 4 C 2.71-2.79, 4 Na 2.83-2.93
B1 0.0189 0.0000 0.2847  3 C 1.64-1.66
B2 0.0199 0.5000 0.7866  3 B 1.66-1.79
B3 0.0845 0.5000 0.9159  3 B 1.66-1.74
B4 0.1157 0.5000 0.4775  3 C 1.64-1.67
B5 0.1237 0.0000 0.9948  3 B 1.72-1.74
B6 0.1906 0.0000 0.1293  2 C 1.60, 1 B 1.72
B7 0.2123 0.0000 0.6726  3 C 1.64-1.68
B8 0.2817 0.5000 0.3134  3 C 1.59-1.62
B9 0.3093 0.5000 0.8685  2 C 1.64
B10 0.3719 0.0000 0.4938  1 C 1.54
B11 0.3814 0.5000 0.0127  3 B 1.76-1.85
B12 0.4133 0.5000 0.5758  3 B 1.64-1.77
B13 0.4225 0.0000 0.0940  1 C 1.63, 2 B 1.76
B14 0.4773 0.5000 0.7023  3 B 1.64-1.79
C1 0.0838 0.0000 0.4130  3 B 1.64-1.66
C2 0.1807 0.5000 0.6077  3 B 1.64-1.67
C3 0.2199 0.5000 0.1884  3 B 1.59-1.60
C4 0.2773 0.0000 0.8043  3 B 1.64-1.68
C5 0.3118 0.0000 0.3750  3 B 1.54-1.62
C6 0.4863 0.0000 0.2203  3 B 1.63-1.64

---

No. 6
This record from the Alexandria database describes an optimized crystal structure of Sm5Er6Mg. The functional is PBE.

Summary:
Energy relative to the elements = 0.6 kcal/mol of atoms

a b c (Å): 5.0149 10.0265 14.9530
angles (deg): 90.00 90.00 90.00
Closest atoms and distances in Å follow each position.
Space group Immm (No. 71)
Symmetry-distinct sites (fractional):
Sm1 0.0000 0.0000 0.0000  4 Sm 3.52, 8 Er 3.55
Sm2 0.0000 0.0000 0.3330  8 Er 3.53-3.55, 2 Mg 3.54, 2 Sm 3.54
Sm3 0.0000 0.5000 0.3343  4 Sm 3.52-3.54, 8 Er 3.53-3.56
Er1 0.0000 0.2493 0.5000  6 Sm 3.53-3.55, 4 Er 3.54, 2 Mg 3.54
Er2 0.0000 0.2520 0.1667  1 Mg 3.52, 7 Sm 3.53-3.56, 4 Er 3.53-3.54
Mg1 0.0000 0.5000 0.0000  8 Er 3.52-3.54, 4 Sm 3.54

---

No. 7
This record from the Alexandria database describes an optimized crystal structure of Sr2AgAs. The functional is PBE.

Summary:
Energy relative to the elements = -3.2 kcal/mol of atoms

a b c (Å): 7.6817 7.6817 7.6817
angles (deg): 90.00 90.00 90.00
Closest atoms and distances in Å follow each position.
Space group F-43m (No. 216)
Symmetry-distinct sites (fractional):
Sr1 0.0000 0.0000 0.0000  4 Ag 3.33, 4 Sr 3.33
Sr2 0.2500 0.2500 0.2500  4 As 3.33, 4 Sr 3.33
Ag1 0.2500 0.2500 0.7500  4 As 3.33, 4 Sr 3.33
As1 0.0000 0.0000 0.5000  4 Sr 3.33, 4 Ag 3.33

---

No. 8
This record from the Alexandria database describes an optimized crystal structure of NaCeNpO6. The functional is PBE.

Summary:
Energy relative to the elements, uncorrected = -23.982 eV per formula unit

a b c (Å): 5.6274 5.6274 9.6880
angles (deg): 90.00 90.00 120.00
Closest atoms and distances in Å follow each position.
Space group P-31c (No. 163)
Symmetry-distinct sites (fractional):
Na1 0.3333 0.6667 0.2500  6 O 2.38
Ce1 0.0000 0.0000 0.0000  6 O 2.28
Np1 0.3333 0.6667 0.7500  6 O 2.03
O1 0.0494 0.3591 0.6314  1 Np 2.03

---

No. 9
This record from the Alexandria database describes an optimized crystal structure of BeSiF. The functional is PBE.

Summary:
E above lowest polymorph = 24.4 kJ/mol of formula units
Energy relative to the elements, uncorrected = -3.691 eV per formula unit

a b c (Å): 7.1628 4.1997 5.6268
angles (deg): 90.00 114.54 90.00
Closest atoms and distances in Å follow each position.
Space group C2/m (No. 12)
Symmetry-distinct sites (fractional):
Be1 0.0000 0.2376 0.0000  2 F 1.58
Si1 0.1416 0.0000 0.4269  2 Be 2.40, 3 Si 2.49-2.54
F1 0.1404 0.5000 0.9567  2 Be 1.58

---

No. 10
This record from the Alexandria database describes an optimized crystal structure of USiSn2. The functional is PBE.

Summary:
Energy relative to the elements, uncorrected = -0.373 eV per formula unit

a b c (Å): 4.3026 4.3026 4.7231
angles (deg): 90.00 90.00 90.00
Closest atoms and distances in Å follow each position.
Space group P4/mmm (No. 123)
Symmetry-distinct sites (fractional):
U1 0.0000 0.0000 0.0000  4 Si 3.04, 8 Sn 3.19
Si1 0.5000 0.5000 0.0000  4 U 3.04, 8 Sn 3.19
Sn1 0.0000 0.5000 0.5000  4 Sn 3.04, 4 U 3.19, 4 Si 3.19

---

No. 11
This record from the Alexandria database describes an optimized crystal structure of ZnSi2Cl. The functional is PBE.

Summary:
E above lowest polymorph = 189.7 kJ/mol of formula units
Energy relative to the elements, uncorrected = 1.944 eV per formula unit

a b c (Å): 5.1384 9.9897 2.7758
angles (deg): 90.00 90.00 90.00
Closest atoms and distances in Å follow each position.
Space group Cmmm (No. 65)
Symmetry-distinct sites (fractional):
Zn1 0.0000 0.0000 0.0000  2 Cl 2.57, 2 Zn 2.78
Si1 0.2500 0.2500 0.5000  4 Si 2.57-2.78
Cl1 0.0000 0.5000 0.0000  2 Zn 2.57, 2 Cl 2.78

---

No. 12
This record from the Alexandria database describes an optimized crystal structure of CsIBr2Cl. The functional is PBE.

Summary:
Energy relative to the elements, uncorrected = -3.802 eV per formula unit

a b c (Å): 5.9514 5.9514 5.6961
angles (deg): 90.00 90.00 90.00
Closest atoms and distances in Å follow each position.
Space group P4/mmm (No. 123)
Symmetry-distinct sites (fractional):
Cs1 0.0000 0.0000 0.0000  8 Br 4.12, 4 Cl 4.21
I1 0.5000 0.5000 0.5000  2 Cl 2.85, 4 Br 2.98
Br1 0.0000 0.5000 0.5000  2 I 2.98
Cl1 0.5000 0.5000 0.0000  2 I 2.85

---

No. 13
This record from the Alexandria database describes an optimized crystal structure of MnTc2Ru. The functional is PBE.

Summary:
E above lowest polymorph = 9.2 kJ/mol of formula units
Energy relative to the elements = 1.8 kcal/mol of atoms

a b c (Å): 4.1181 2.6945 9.8323
angles (deg): 90.00 90.00 90.00
Closest atoms and distances in Å follow each position.
Space group Amm2 (No. 38)
Symmetry-distinct sites (fractional):
Mn1 0.0000 0.0000 0.0000  3 Tc 2.37-2.53
Tc1 0.0000 0.0000 0.2570  3 Mn 2.53-2.74, 6 Tc 2.69-2.75
Tc2 0.5000 0.0000 0.8812  2 Mn 2.37, 1 Ru 2.62
Ru1 0.5000 0.0000 0.6142  7 Tc 2.62-2.83, 2 Ru 2.69, 4 Mn 2.70

---

No. 14
This record from the Alexandria database describes an optimized crystal structure of NdScGaSn. The functional is PBE.

Summary:
Energy relative to the elements = -11.4 kcal/mol of atoms

a b c (Å): 7.3195 7.3195 7.3195
angles (deg): 90.00 90.00 90.00
Closest atoms and distances in Å follow each position.
Space group F-43m (No. 216)
Symmetry-distinct sites (fractional):
Nd1 0.0000 0.0000 0.0000  4 Ga 3.17, 4 Sn 3.17
Sc1 0.0000 0.0000 0.5000  4 Sn 3.17, 4 Ga 3.17
Ga1 0.2500 0.2500 0.7500  4 Nd 3.17, 4 Sc 3.17
Sn1 0.2500 0.2500 0.2500  4 Nd 3.17, 4 Sc 3.17

---

No. 15
This record from the Alexandria database describes an optimized crystal structure of MgTlC2. The functional is PBE.

Summary:
E above lowest polymorph = 0.0 kJ/mol of formula units
Energy relative to the elements = 42.5 kcal/mol of atoms

a b c (Å): 5.7317 5.7317 8.0954
angles (deg): 90.00 90.00 90.00
Closest atoms and distances in Å follow each position.
Space group I-42d (No. 122)
Symmetry-distinct sites (fractional):
Mg1 0.0000 0.0000 0.0000  4 C 2.24
Tl1 0.0000 0.0000 0.5000  4 C 2.29
C1 0.2420 0.2500 0.1250  2 Mg 2.24, 2 Tl 2.29

---

No. 16
This record from the Alexandria database describes an optimized crystal structure of LaPmGaGe. The functional is PBE.

Summary:
E above lowest polymorph = 0.0 kJ/mol of formula units
Energy relative to the elements = -17.5 kcal/mol of atoms

a b c (Å): 4.1436 4.5080 11.3537
angles (deg): 90.00 90.00 90.00
Closest atoms and distances in Å follow each position.
Space group Amm2 (No. 38)
Symmetry-distinct sites (fractional):
La1 0.0000 0.0000 0.0000  4 Ge 3.16, 3 Ga 3.21-3.35
Pm1 0.5000 0.0000 0.2804  4 Ga 3.14, 3 Ge 3.28-3.29
Ga1 0.0000 0.0000 0.7177  2 Ge 2.66
Ge1 0.5000 0.0000 0.5703  2 Ga 2.66

---

No. 17
This record from the Alexandria database describes an optimized crystal structure of TiTeSe. The functional is PBE.

Summary:
E above lowest polymorph = 5.5 kJ/mol of formula units
Energy relative to the elements, uncorrected = -2.702 eV per formula unit

a b c (Å): 7.6430 7.2562 6.3304
angles (deg): 90.00 109.65 90.00
Closest atoms and distances in Å follow each position.
Space group P2_1/c (No. 14)
Symmetry-distinct sites (fractional):
Ti1 0.0014 0.1308 0.2435  3 Se 2.53-2.61, 3 Te 2.75-2.81
Te1 0.2508 0.6232 0.0234  3 Ti 2.75-2.81
Se1 0.2074 0.1298 0.9989  3 Ti 2.53-2.61

---

No. 18
This record from the Alexandria database describes an optimized crystal structure of TaTcMo3. The functional is PBE.

Summary:
E above lowest polymorph = 283.2 kJ/mol of formula units
Energy relative to the elements = 49.0 kcal/mol of atoms

a b c (Å): 4.6767 4.6767 4.6767
angles (deg): 90.00 90.00 90.00
Closest atoms and distances in Å follow each position.
Space group Pm-3m (No. 221)
Symmetry-distinct sites (fractional):
Ta1 0.0000 0.0000 0.0000  6 Mo 2.34
Tc1 0.5000 0.5000 0.5000  12 Mo 3.31
Mo1 0.0000 0.0000 0.5000  2 Ta 2.34

---

No. 19
This record from the Alexandria database describes an optimized crystal structure of LiCa2Mg. The functional is PBE.

Summary:
Energy relative to the elements = -0.8 kcal/mol of atoms

a b c (Å): 5.6618 5.6618 3.9002
angles (deg): 90.00 90.00 90.00
Closest atoms and distances in Å follow each position.
Space group P4/mmm (No. 123)
Symmetry-distinct sites (fractional):
Li1 0.0000 0.0000 0.0000  8 Ca 3.44
Ca1 0.0000 0.5000 0.5000  4 Li 3.44, 4 Mg 3.44
Mg1 0.5000 0.5000 0.0000  8 Ca 3.44

---

No. 20
This record from the Alexandria database describes an optimized crystal structure of Pr4CoPb2. The functional is PBE.

Summary:
E above lowest polymorph = 0.0 kJ/mol of formula units
Energy relative to the elements = -7.7 kcal/mol of atoms

a b c (Å): 6.5026 6.9552 9.7439
angles (deg): 90.00 102.17 90.00
Closest atoms and distances in Å follow each position.
Space group P2_1/m (No. 11)
Symmetry-distinct sites (fractional):
Pr1 0.1995 0.2500 0.0910  1 Co 2.57
Pr2 0.2192 0.5007 0.7404  1 Co 2.72
Pr3 0.2965 0.7500 0.3928  1 Co 2.56
Co1 0.0332 0.7500 0.1575  4 Pr 2.56-2.72, 1 Pb 2.62
Pb1 0.1998 0.2500 0.4378  8 Pr 3.34-3.58
Pb2 0.3695 0.7500 0.0489  1 Co 2.62

---

No. 21
This record from the Alexandria database describes an optimized crystal structure of YbCdAg. The functional is PBE.

Summary:
Energy relative to the elements = -7.7 kcal/mol of atoms

a b c (Å): 9.5250 5.8643 10.0843
angles (deg): 90.00 90.00 90.00
Closest atoms and distances in Å follow each position.
Space group Amm2 (No. 38)
Symmetry-distinct sites (fractional):
Yb1 0.1840 0.0000 0.0000  7 Ag 3.37-3.44, 5 Cd 3.42-3.45, 4 Yb 3.51-3.56
Yb2 0.3007 0.0000 0.6672  5 Ag 3.30-3.42, 7 Cd 3.34-3.49, 3 Yb 3.53-3.56
Cd1 0.0000 0.0000 0.4962  6 Ag 2.89-2.94
Cd2 0.5000 0.0000 0.1643  4 Cd 2.89-2.94, 2 Ag 2.94
Cd3 0.5000 0.2479 0.9167  4 Cd 2.89-2.96, 2 Ag 2.95
Ag1 0.0000 0.2464 0.7448  4 Ag 2.89-2.97, 2 Cd 2.89-2.94
Ag2 0.2478 0.0000 0.3315  4 Cd 2.89-2.95, 2 Ag 2.92

---

No. 22
This record from the Alexandria database describes an optimized crystal structure of TiNbI2. The functional is PBE.

Summary:
E above lowest polymorph = 123.2 kJ/mol of formula units
Energy relative to the elements, uncorrected = 2.966 eV per formula unit

a b c (Å): 6.3894 6.3894 12.5510
angles (deg): 90.00 90.00 90.00
Closest atoms and distances in Å follow each position.
Space group I-42d (No. 122)
Symmetry-distinct sites (fractional):
Ti1 0.0000 0.0000 0.0000  4 I 2.73
Nb1 0.0000 0.0000 0.5000  4 I 2.77
I1 0.2436 0.2500 0.1250  2 Ti 2.73, 2 Nb 2.77

---

No. 23
This record from the Alexandria database describes an optimized crystal structure of In2FeAu. The functional is PBE.

Summary:
E above lowest polymorph = 103.1 kJ/mol of formula units
Energy relative to the elements = 8.2 kcal/mol of atoms

a b c (Å): 7.6002 7.6002 5.8585
angles (deg): 90.00 90.00 90.00
Closest atoms and distances in Å follow each position.
Space group I-42d (No. 122)
Symmetry-distinct sites (fractional):
In1 0.2435 0.2500 0.1250  2 Fe 2.75, 2 Au 2.82, 2 In 2.93
Fe1 0.0000 0.0000 0.0000  4 In 2.75, 2 Au 2.93
Au1 0.0000 0.0000 0.5000  4 In 2.82, 2 Fe 2.93

---

Values for uncorrected energy, eV/atom, ordered as above
-5.441; -7.016; -2.372; -5.209; -5.278; -4.355; -2.855; -8.214; -4.904; -6.273; -3.006; -2.280; -9.715; -5.026; -3.759; -5.090; -5.741; -8.819; -1.912; -5.141; -2.096; -4.525; -3.947